Entry 1:
The following is a DFT calculation (SCAN) of BaTlPb2 at its PBEsol-relaxed geometry.

Structure (extended XYZ):
```
4
Lattice="4.953 0.000 0.000 0.000 4.953 0.000 -2.477 -2.477 5.212" Properties=species:S:1:pos:R:3 pbc="T T T"
Tl 0.000 0.000 0.000
Pb 2.477 0.000 2.606
Ba 2.477 2.477 0.000
Pb 0.000 2.477 2.606
```

Properties
- ΔE_f (eV per atom) = -0.4219
- magnetization (Bohr magnetons per cell) = 0.00
- energy (eV/atom) = -66.290
- D(E_F) (states/eV per atom) = 0.512
- energy above the lowest structure with this stoichiometry (eV/atom) = 0.049

Entry 2:
The following is a DFT calculation (SCAN) of BaTlPb4 at its PBEsol-relaxed geometry.

Structure (extended XYZ):
```
6
Lattice="-1.012 -4.132 4.922 0.777 -6.395 -0.909 5.028 -3.088 2.741" Properties=species:S:1:pos:R:3 pbc="T T T"
Pb 1.795 -5.097 2.529
Pb 4.321 -6.649 3.906
Pb 2.185 -8.310 2.072
Pb 1.286 -7.173 5.002
Ba 0.000 0.000 0.000
Tl 3.595 -10.211 5.065
```

Properties
- ΔE_f (eV per atom) = -0.3285
- magnetization (Bohr magnetons per cell) = 0.00
- energy (eV/atom) = -69.501
- D(E_F) (states/eV per atom) = 0.556

Entry 3:
The following is a DFT calculation (SCAN) of BaTlPb2 at its PBEsol-relaxed geometry.

Structure (extended XYZ):
```
4
Lattice="-3.417 -0.001 4.521 -4.526 -3.408 0.131 -0.084 -4.466 3.488" Properties=species:S:1:pos:R:3 pbc="T T T"
Ba 0.000 0.000 0.000
Pb -6.020 -5.906 6.105
Tl -4.013 -3.937 4.070
Pb -2.007 -1.969 2.035
```

Properties
- ΔE_f (eV per atom) = -0.3133
- magnetization (Bohr magnetons per cell) = 0.00
- energy (eV/atom) = -66.181
- D(E_F) (states/eV per atom) = 0.677
- energy above the lowest structure with this stoichiometry (eV/atom) = 0.157

> Which formula does entry 2 have?

BaTlPb4

> What is the energy in the second record?

-69.501 eV/atom